A plane-wave DFT calculation with PBE-GGA was carried out for a relaxed Er8Tm6Cd crystal.

Geometry as extended XYZ:
```
15
Lattice="6.6287 0.0000 0.0000 0.0000 7.8378 -4.5252 0.0000 0.0000 9.0503" Properties=species:S:1:pos:R:3 pbc="T T T"
Er 5.3919 2.6126 4.5252
Er 5.8916 7.7148 -1.6098
Er 5.8916 5.3745 2.9609
Er 0.7372 0.1220 6.1404
Er 0.7372 2.4591 1.5606
Er 5.8916 2.5863 -1.3512
Er 0.7372 5.2567 5.8745
Er 1.2380 5.2252 0.0000
Tm 3.9977 7.1970 1.2623
Tm 3.9977 3.1461 1.0765
Tm 3.9977 5.3325 -2.3388
Tm 2.6306 2.5066 6.8622
Tm 2.6306 0.6417 3.2649
Tm 2.6306 4.6895 3.4484
Cd 3.3139 0.0000 0.0000
```

Computed properties:
* energy relative to the elements: 235 meV per atom
* D(E_F): 1.280 states/eV per atom
* space group: No. 147
* mass density: 8.7 Mg/m³



A plane-wave DFT calculation with PBE-GGA was carried out for a relaxed Er4Tm4Cd crystal.

Geometry as extended XYZ:
```
9
Lattice="-0.2191 -4.5647 -1.7829 5.7889 -0.9554 -5.0138 4.2088 -4.6102 4.5381" Properties=species:S:1:pos:R:3 pbc="T T T"
Tm 5.2621 -2.1734 -1.8304
Tm 4.5164 -7.9568 -0.4282
Tm 6.5926 -5.2320 -0.9115
Tm 3.1859 -4.8983 -1.3471
Er 6.0459 -6.4546 2.2860
Er 1.3157 -3.0506 0.9004
Er 3.7327 -3.6757 -4.5446
Er 8.4629 -7.0797 -3.1590
Cd 0.0000 0.0000 0.0000
```

Computed properties:
* energy relative to the elements: -8 meV per atom
* D(E_F): 1.601 states/eV per atom
* space group: No. 139
* mass density: 9.2 Mg/m³



A plane-wave DFT calculation with PBE-GGA was carried out for a relaxed Er5Tm4Cd2 crystal.

Geometry as extended XYZ:
```
11
Lattice="3.4370 0.0000 0.0000 0.0000 8.4777 0.0797 0.0000 -0.7207 10.9673" Properties=species:S:1:pos:R:3 pbc="T T T"
Er 0.0000 6.1720 9.2223
Er 0.0000 4.5828 3.3187
Er 0.0000 1.5851 1.8246
Er 0.0000 4.2389 0.0398
Er 0.0000 3.1743 7.7282
Tm 1.7185 1.9687 4.9473
Tm 1.7185 7.1333 1.3494
Tm 1.7185 5.7884 6.0996
Tm 1.7185 0.6237 9.6976
Cd 0.0000 7.7247 4.0886
Cd 0.0000 0.0324 6.9584
```

Computed properties:
* energy relative to the elements: 23 meV per atom
* D(E_F): 1.457 states/eV per atom
* space group: No. 10
* mass density: 9.0 Mg/m³



A plane-wave DFT calculation with PBE-GGA was carried out for a relaxed ErTm2Cd2 crystal.

Geometry as extended XYZ:
```
10
Lattice="-2.5185 0.5554 -2.6264 3.3964 -1.7571 -3.6283 -3.3705 -12.9055 3.0949" Properties=species:S:1:pos:R:3 pbc="T T T"
Tm -4.6150 -11.6288 -0.6030
Tm -2.8499 -6.8129 -1.2829
Tm 2.1224 -2.4784 -2.5568
Tm 0.3573 -7.2943 -1.8769
Cd -2.4710 -9.4943 0.3703
Cd -1.6118 -12.6611 -1.1211
Cd -0.8807 -1.4461 -2.0387
Cd -0.0216 -4.6129 -3.5301
Er -0.5344 -4.2106 -0.3757
Er -1.9582 -9.8966 -2.7841
```

Computed properties:
* energy above the lowest structure with this stoichiometry: 0.000 eV/atom
* energy relative to the elements: -252 meV per atom
* D(E_F): 0.860 states/eV per atom
* space group: No. 11
* mass density: 9.2 Mg/m³